# Tb3Zr2PaP6 | Alexandria | PBE-GGA | optimized geometry
# Uncorrected energy: -90.693 eV per formula unit
# Volume: 21.25 A^3/atom
# Total magnetization: 0.0 μB/cell
# Crystal system: monoclinic
data_Tb3Zr2PaP6
_chemical_formula_sum 'Tb6 Zr4 Pa2 P12'
_cell_length_a 6.7633
_cell_length_b 11.7189
_cell_length_c 6.8183
_cell_angle_alpha 90.00
_cell_angle_beta 109.35
_cell_angle_gamma 90.00
_symmetry_space_group_name_H-M 'C 1 2/m 1'
_symmetry_Int_Tables_number 12
_symmetry_space_group_name_Hall '-C 2y'
loop_
_atom_site_label
_atom_site_type_symbol
_atom_site_fract_x
_atom_site_fract_y
_atom_site_fract_z
Tb1 Tb 0.0000 0.0000 0.0000
Tb2 Tb 0.0000 0.3346 0.0000
Zr1 Zr 0.0000 0.1665 0.5000
Pa1 Pa 0.0000 0.5000 0.5000
P1 P 0.2408 0.0000 0.7351
P2 P 0.2479 0.3312 0.7381

***

# TbZr2PaP4 | Alexandria | PBE-GGA | optimized geometry
# Uncorrected energy: -64.290 eV per formula unit
# Volume: 20.39 A^3/atom
# Total magnetization: 0.0 μB/cell
# Crystal system: monoclinic
data_TbZr2PaP4
_chemical_formula_sum 'Tb1 Zr2 Pa1 P4'
_cell_length_a 6.6765
_cell_length_b 3.8727
_cell_length_c 6.6921
_cell_angle_alpha 90.00
_cell_angle_beta 109.51
_cell_angle_gamma 90.00
_symmetry_space_group_name_H-M 'P 1 2/m 1'
_symmetry_Int_Tables_number 10
_symmetry_space_group_name_Hall '-P 2y'
loop_
_atom_site_label
_atom_site_type_symbol
_atom_site_fract_x
_atom_site_fract_y
_atom_site_fract_z
Tb1 Tb 0.0000 0.0000 0.0000
Zr1 Zr 0.5000 0.0000 0.5000
Zr2 Zr 0.5000 0.5000 0.0000
Pa1 Pa 0.0000 0.5000 0.5000
P1 P 0.2631 0.0000 0.7530
P2 P 0.2630 0.5000 0.2573

***

# Pa2TcP | Alexandria | PBE-GGA | optimized geometry
# Uncorrected energy: -37.177 eV per formula unit
# ΔE to the lowest computed polymorph: 0.000 eV/atom
# Volume: 21.39 A^3/atom
# Total magnetization: 0.0 μB/cell
# Crystal system: monoclinic
data_Pa2TcP
_chemical_formula_sum 'Pa4 Tc2 P2'
_cell_length_a 5.8686
_cell_length_b 3.9316
_cell_length_c 7.6128
_cell_angle_alpha 90.00
_cell_angle_beta 103.01
_cell_angle_gamma 90.00
_symmetry_space_group_name_H-M 'C 1 2/m 1'
_symmetry_Int_Tables_number 12
_symmetry_space_group_name_Hall '-C 2y'
loop_
_atom_site_label
_atom_site_type_symbol
_atom_site_fract_x
_atom_site_fract_y
_atom_site_fract_z
Pa1 Pa 0.0721 0.0000 0.2534
Tc1 Tc 0.0000 0.5000 0.0000
P1 P 0.0000 0.5000 0.5000

***

# Pa2TcP | Alexandria | PBE-GGA | optimized geometry
# Uncorrected energy: -36.552 eV per formula unit
# ΔE to the lowest computed polymorph: 0.156 eV/atom
# Volume: 19.12 A^3/atom
# Total magnetization: 0.0 μB/cell
# Crystal system: tetragonal
data_Pa2TcP
_chemical_formula_sum 'Pa2 Tc1 P1'
_cell_length_a 4.3283
_cell_length_b 4.3283
_cell_length_c 4.0821
_cell_angle_alpha 90.00
_cell_angle_beta 90.00
_cell_angle_gamma 90.00
_symmetry_space_group_name_H-M 'P 4/m m m'
_symmetry_Int_Tables_number 123
_symmetry_space_group_name_Hall '-P 4 2'
loop_
_atom_site_label
_atom_site_type_symbol
_atom_site_fract_x
_atom_site_fract_y
_atom_site_fract_z
Pa1 Pa 0.0000 0.5000 0.0000
Tc1 Tc 0.0000 0.0000 0.5000
P1 P 0.5000 0.5000 0.5000

***

# Pa2TcP | Alexandria | PBE-GGA | optimized geometry
# Uncorrected energy: -37.104 eV per formula unit
# ΔE to the lowest computed polymorph: 0.018 eV/atom
# Volume: 22.38 A^3/atom
# Total magnetization: 0.0 μB/cell
# Crystal system: trigonal
data_Pa2TcP
_chemical_formula_sum 'Pa6 Tc3 P3'
_cell_length_a 3.8926
_cell_length_b 3.8926
_cell_length_c 20.4674
_cell_angle_alpha 90.00
_cell_angle_beta 90.00
_cell_angle_gamma 120.00
_symmetry_space_group_name_H-M 'R -3 m'
_symmetry_Int_Tables_number 166
_symmetry_space_group_name_Hall '-R 3 2"'
loop_
_atom_site_label
_atom_site_type_symbol
_atom_site_fract_x
_atom_site_fract_y
_atom_site_fract_z
Pa1 Pa 0.0000 0.0000 0.2463
Tc1 Tc 0.0000 0.0000 0.5000
P1 P 0.0000 0.0000 0.0000

***

# Pa4Tc7P6 | Alexandria | PBE-GGA | optimized geometry
# Uncorrected energy: -159.078 eV per formula unit
# Volume: 16.36 A^3/atom
# Total magnetization: 0.0 μB/cell
# Crystal system: cubic
data_Pa4Tc7P6
_chemical_formula_sum 'Pa8 Tc14 P12'
_cell_length_a 8.2243
_cell_length_b 8.2243
_cell_length_c 8.2243
_cell_angle_alpha 90.00
_cell_angle_beta 90.00
_cell_angle_gamma 90.00
_symmetry_space_group_name_H-M 'I m -3 m'
_symmetry_Int_Tables_number 229
_symmetry_space_group_name_Hall '-I 4 2 3'
loop_
_atom_site_label
_atom_site_type_symbol
_atom_site_fract_x
_atom_site_fract_y
_atom_site_fract_z
Pa1 Pa 0.2500 0.2500 0.2500
Tc1 Tc 0.0000 0.0000 0.0000
Tc2 Tc 0.0000 0.2500 0.5000
P1 P 0.0000 0.0000 0.3145

***

# PaTc2P | Alexandria | PBE-GGA | optimized geometry
# Uncorrected energy: -37.061 eV per formula unit
# ΔE to the lowest computed polymorph: 0.211 eV/atom
# Volume: 16.45 A^3/atom
# Total magnetization: 0.0 μB/cell
# Crystal system: tetragonal
data_PaTc2P
_chemical_formula_sum 'Pa1 Tc2 P1'
_cell_length_a 4.2163
_cell_length_b 4.2163
_cell_length_c 3.7014
_cell_angle_alpha 90.00
_cell_angle_beta 90.00
_cell_angle_gamma 90.00
_symmetry_space_group_name_H-M 'P 4/m m m'
_symmetry_Int_Tables_number 123
_symmetry_space_group_name_Hall '-P 4 2'
loop_
_atom_site_label
_atom_site_type_symbol
_atom_site_fract_x
_atom_site_fract_y
_atom_site_fract_z
Pa1 Pa 0.0000 0.0000 0.0000
Tc1 Tc 0.0000 0.5000 0.5000
P1 P 0.5000 0.5000 0.0000

***

# Pa2TcP | Alexandria | PBE-GGA | optimized geometry
# Uncorrected energy: -37.066 eV per formula unit
# ΔE to the lowest computed polymorph: 0.028 eV/atom
# Volume: 19.66 A^3/atom
# Total magnetization: 0.0 μB/cell
# Crystal system: tetragonal
data_Pa2TcP
_chemical_formula_sum 'Pa2 Tc1 P1'
_cell_length_a 3.6085
_cell_length_b 3.6085
_cell_length_c 6.0400
_cell_angle_alpha 90.00
_cell_angle_beta 90.00
_cell_angle_gamma 90.00
_symmetry_space_group_name_H-M 'P 4/m m m'
_symmetry_Int_Tables_number 123
_symmetry_space_group_name_Hall '-P 4 2'
loop_
_atom_site_label
_atom_site_type_symbol
_atom_site_fract_x
_atom_site_fract_y
_atom_site_fract_z
Pa1 Pa 0.0000 0.0000 0.2394
Tc1 Tc 0.5000 0.5000 0.5000
P1 P 0.5000 0.5000 0.0000